Entry 1:
Material: MnP2O7
Method: DFT, SCAN
State: single point on PBEsol structure

Values from the calculation:
N(E_F) (states/eV per cell): 0.00
Electronic total energy (eV per atom): -10.548
Size of the total moment (Bohr magnetons per cell): 23.83
Crystal system: orthorhombic
Raw formation energy (eV per atom): -2.28
Energy above the most stable polymorph in this dataset (eV per formula unit): 0.27

abc: 7.6471 7.7111 15.5151
angles: 90.00 90.00 90.00
Last column: nearest neighbours and their distance in Å.
Fractional coordinates of all 80 atoms:
P 0.8900 0.1259 0.1760  4 O 1.53-1.59
O 0.9804 0.9496 0.1854  1 P 1.53
O 0.1975 0.1171 0.3514  1 P 1.53
O 0.0196 0.4496 0.8146  1 P 1.53
O 0.5783 0.7341 0.7569  1 P 1.53
Mn 0.5132 0.7455 0.8744  6 O 1.84-1.94
O 0.9788 0.5242 0.0691  1 P 1.53
P 0.6033 0.3694 0.4362  4 O 1.53-1.58
O 0.4739 0.7832 0.9943  1 P 1.52
O 0.4788 0.5242 0.4309  1 P 1.53
O 0.3025 0.6171 0.8514  1 P 1.53
O 0.2257 0.8804 0.6147  1 P 1.53
O 0.9217 0.2341 0.2569  1 P 1.53
P 0.3900 0.1259 0.3240  4 O 1.53-1.59
O 0.1784 0.7902 0.0629  1 P 1.52
P 0.1312 0.3437 0.5718  4 O 1.52-1.60
O 0.6491 0.3325 0.5303  1 P 1.53
O 0.3781 0.0355 0.0956  1 P 1.53
O 0.9739 0.7832 0.5057  1 P 1.52
Mn 0.5262 0.2410 0.6223  6 O 1.82-1.88
O 0.8939 0.9486 0.6461  1 P 1.53
O 0.0081 0.7101 0.9029  2 P 1.58-1.59
O 0.7257 0.8804 0.8853  1 P 1.53
O 0.1219 0.5355 0.5956  1 P 1.53
Mn 0.9738 0.7410 0.1223  6 O 1.82-1.88
O 0.8216 0.2902 0.9371  1 P 1.52
O 0.5648 0.2353 0.8469  2 P 1.58-1.60
O 0.0667 0.6133 0.2140  1 P 1.51
O 0.6061 0.4486 0.1461  1 P 1.53
P 0.4064 0.1257 0.8104  4 O 1.50-1.58
O 0.5212 0.0242 0.5691  1 P 1.53
O 0.2743 0.3804 0.1147  1 P 1.53
O 0.0783 0.7341 0.7431  1 P 1.53
O 0.8509 0.8325 0.0303  1 P 1.53
Mn 0.4738 0.7410 0.3777  6 O 1.82-1.88
P 0.5936 0.6257 0.1896  4 O 1.50-1.58
O 0.5081 0.7101 0.5971  2 P 1.58-1.59
O 0.8025 0.6171 0.6486  1 P 1.53
O 0.6975 0.1171 0.1486  1 P 1.53
P 0.6312 0.3437 0.9282  4 O 1.52-1.60
O 0.0261 0.2832 0.4943  1 P 1.52
O 0.4919 0.2101 0.4029  2 P 1.58-1.59
O 0.9352 0.7353 0.3469  2 P 1.58-1.60
O 0.2415 0.2246 0.8285  1 P 1.50
O 0.2585 0.7246 0.3285  1 P 1.50
O 0.3939 0.9486 0.8539  1 P 1.53
O 0.4333 0.1133 0.7140  1 P 1.51
O 0.9919 0.2101 0.0971  2 P 1.58-1.59
O 0.9333 0.1133 0.7860  1 P 1.51
O 0.7585 0.7246 0.1715  1 P 1.50
O 0.5196 0.4496 0.6854  1 P 1.53
O 0.6219 0.5355 0.9044  1 P 1.53
O 0.6784 0.7902 0.4371  1 P 1.52
Mn 0.4868 0.2455 0.1256  6 O 1.84-1.94
O 0.5667 0.6133 0.2860  1 P 1.51
P 0.1033 0.3694 0.0638  4 O 1.53-1.58
O 0.0648 0.2353 0.6531  2 P 1.58-1.60
O 0.4352 0.7353 0.1531  2 P 1.58-1.60
O 0.7743 0.3804 0.3853  1 P 1.53
O 0.7415 0.2246 0.6715  1 P 1.50
O 0.1491 0.3325 0.9697  1 P 1.53
Mn 0.0132 0.7455 0.6256  6 O 1.84-1.94
O 0.5261 0.2832 0.0057  1 P 1.52
P 0.3688 0.8437 0.0718  4 O 1.52-1.60
P 0.0936 0.6257 0.3104  4 O 1.50-1.58
P 0.8688 0.8437 0.4282  4 O 1.52-1.60
O 0.4217 0.2341 0.2431  1 P 1.53
P 0.1100 0.6259 0.8240  4 O 1.53-1.59
Mn 0.0262 0.2410 0.8777  6 O 1.82-1.88
O 0.3216 0.2902 0.5629  1 P 1.52
P 0.9064 0.1257 0.6896  4 O 1.50-1.58
Mn 0.9868 0.2455 0.3744  6 O 1.84-1.94
O 0.8781 0.0355 0.4044  1 P 1.53
O 0.4804 0.9496 0.3146  1 P 1.53
P 0.6100 0.6259 0.6760  4 O 1.53-1.59
P 0.8967 0.8694 0.9362  4 O 1.53-1.58
O 0.0212 0.0242 0.9309  1 P 1.53
P 0.3967 0.8694 0.5638  4 O 1.53-1.58
O 0.3509 0.8325 0.4697  1 P 1.53
O 0.1061 0.4486 0.3539  1 P 1.53


Entry 2:
Material: KBa2Sr
Method: DFT, SCAN
State: single point on PBEsol structure

Values from the calculation:
N(E_F) (states/eV per cell): 4.58
Formation enthalpy at 0 K (kJ/mol of atoms): 5
Electronic total energy (eV per atom): -27.372
Size of the total moment (Bohr magnetons per cell): 0.12
Crystal system: orthorhombic
Energy above the most stable polymorph in this dataset (eV per formula unit): 0.00

abc: 4.2040 4.2040 14.2342
angles: 90.00 90.00 110.69
Last column: nearest neighbours and their distance in Å.
Fractional coordinates of all 4 atoms:
Sr 0.5000 0.5000 0.2401  2 Ba 4.13, 4 Sr 4.20, 2 K 4.36
Ba 0.0000 0.0000 0.0037  2 Sr 4.13, 6 Ba 4.20-4.22
Ba 0.5000 0.5000 0.7598  6 Ba 4.20-4.22, 2 K 4.45
K 0.0000 0.0000 0.4963  4 K 4.20, 2 Sr 4.36, 2 Ba 4.45